one.
A plane-wave DFT calculation with PBE was carried out for a relaxed structure of CaSeIO2.

Cell: 4.3658 4.3658 7.2096 Å, 90.00 90.00 90.00°
Last column: nearest neighbours and their distance in Å.
Fractional coordinates of all 5 atoms:
Ca 0.0000 0.0000 0.0000  4 O 2.18
Se 0.5000 0.5000 0.5000  4 I 3.09
I 0.0000 0.0000 0.5000  4 Se 3.09
O 0.0000 0.5000 0.0000  2 Ca 2.18
O 0.5000 0.0000 0.0000  2 Ca 2.18

Fermi-level density of states, states/eV per cell: 8.005
Space-group type: P4/mmm



two.
A plane-wave DFT calculation with PBE was carried out for a relaxed structure of CaSeIO2.

Cell: 4.2518 4.2518 5.5102 Å, 90.00 90.00 90.00°
Last column: nearest neighbours and their distance in Å.
Fractional coordinates of all 5 atoms:
Ca 0.0000 0.0000 0.0000  4 I 3.01
Se 0.5000 0.5000 0.5000  4 O 2.13
I 0.5000 0.5000 0.0000  2 Se 2.76, 4 Ca 3.01
O 0.0000 0.5000 0.5000  2 Se 2.13
O 0.5000 0.0000 0.5000  2 Se 2.13

Fermi-level density of states, states/eV per cell: 0.652
Space-group type: P4/mmm



two (190 meV per atom below the next structure)